*1*
KTl4In4 | PBE | relaxed

Properties
Crystal system: tetragonal
Total magnetization: 0.0 μB per formula unit
DOS at the Fermi energy: 0.403 states/eV/atom

a = 7.468 Å, b = 7.468 Å, c = 10.947 Å
α = 90.00°, β = 90.00°, γ = 90.00°
Positions (direct):
K 0.250 0.750 0.250
K 0.750 0.250 0.750
Tl 0.021 0.250 0.151
Tl 0.250 0.021 0.651
Tl 0.250 0.479 0.651
Tl 0.479 0.250 0.151
Tl 0.521 0.750 0.849
Tl 0.750 0.521 0.349
Tl 0.750 0.979 0.349
Tl 0.979 0.750 0.849
In 0.045 0.250 0.437
In 0.250 0.045 0.937
In 0.250 0.455 0.937
In 0.455 0.250 0.437
In 0.545 0.750 0.563
In 0.750 0.545 0.063
In 0.750 0.955 0.063
In 0.955 0.750 0.563

*2*
KTl4In4 | PBE | relaxed

Properties
Crystal system: tetragonal
Total magnetization: 0.0 μB per formula unit
DOS at the Fermi energy: 0.409 states/eV/atom

a = 7.717 Å, b = 7.717 Å, c = 7.717 Å
α = 96.29°, β = 96.29°, γ = 141.33°
Positions (direct):
K 0.000 0.000 0.000
Tl 0.326 0.326 0.653
Tl 0.326 0.674 0.000
Tl 0.674 0.326 0.000
Tl 0.674 0.674 0.347
In 0.000 0.349 0.349
In 0.000 0.651 0.651
In 0.349 0.000 0.349
In 0.651 0.000 0.651

Which structure wins on stability? *2* wins.